A plane-wave DFT calculation with meta-GGA SCAN was carried out for a crystal of KBiRh3 relaxed with PBEsol.

Lattice parameters (Å, degrees): 4.658 4.658 4.658 90.00 90.00 90.00
Fractional positions:
K (0.000, 0.000, 0.000)
Bi (0.500, 0.500, 0.500)
Rh (0.000, 0.000, 0.500)
Rh (0.000, 0.500, 0.000)
Rh (0.500, 0.000, 0.000)

## Properties
- Calculated volume: 101.06 Å³/f.u.
- Energy of formation from the pure elements: 1968 meV per atom
- M_tot: 0.97 Bohr magnetons per cell
- Uncorrected energy: -35.68 eV per atom